No. 1
Compound: YNiBr3
Source: Alexandria via LeMat-Bulk
Functional: PBE-GGA
Structure: relaxed

a = 5.5897 Å, b = 5.5897 Å, c = 5.5897 Å
α = 90.00°, β = 90.00°, γ = 90.00°
Last column: nearest neighbours and their distance in Å.
Space group Pm-3m (No. 221)
Asymmetric unit:
1 Y 0.0000 0.0000 0.0000 (multiplicity 1)  6 Br 2.79
2 Ni 0.5000 0.5000 0.5000 (multiplicity 1)  12 Br 3.95
3 Br 0.0000 0.0000 0.5000 (multiplicity 3)  2 Y 2.79

- formation energy from raw total energies (kJ per mole of atoms) = -46.9
- raw total energy (eV per atom) = -3.939
- crystal system = cubic

No. 2
Compound: YNiBr2
Source: Alexandria via LeMat-Bulk
Functional: PBE-GGA
Structure: relaxed

a = 4.0137 Å, b = 4.0137 Å, c = 23.4315 Å
α = 90.00°, β = 90.00°, γ = 120.00°
Last column: nearest neighbours and their distance in Å.
Space group R3m (No. 160, hexagonal axes)
Asymmetric unit:
1 Y 0.0000 0.0000 0.0000 (multiplicity 3)  3 Ni 2.77, 3 Br 2.95
2 Ni 0.0000 0.0000 0.7316 (multiplicity 3)  3 Br 2.42
3 Br 0.0000 0.0000 0.2555 (multiplicity 3)  3 Y 2.95
4 Br 0.0000 0.0000 0.4284 (multiplicity 3)  3 Ni 2.42

- formation energy from raw total energies (kJ per mole of atoms) = -82.9
- raw total energy (eV per atom) = -4.757
- crystal system = trigonal

What is the formula in the first record? YNiBr3

Number 2 is which compound? YNiBr2

Number 2 is which compound? YNiBr2